[1]
# TmSi (SCAN, single point on PBEsol structure)
# - N(E_F): 0.913 states/eV/f.u.
# - Raw formation energy: -0.85 eV per atom
data_TmSi
_cell_length_a 4.160
_cell_length_b 10.284
_cell_length_c 3.748
_cell_angle_alpha 90.00
_cell_angle_beta 90.00
_cell_angle_gamma 90.00
_symmetry_space_group_name_H-M 'C m c m'
_symmetry_Int_Tables_number 63
_symmetry_space_group_name_Hall '-C 2c 2'
loop_
_atom_site_label
_atom_site_type_symbol
_atom_site_fract_x
_atom_site_fract_y
_atom_site_fract_z
Tm1 Tm 0.000 0.141 0.250
Si1 Si 0.000 0.422 0.250

[2]
# KTa2Br (SCAN, single point on PBEsol structure)
# - Energy above the lowest structure with this stoichiometry: 1018 meV/atom
# - N(E_F): 3.936 states/eV/f.u.
# - Raw formation energy: 2.23 eV per atom
data_KTa2Br
_cell_length_a 6.855
_cell_length_b 6.855
_cell_length_c 6.855
_cell_angle_alpha 90.00
_cell_angle_beta 90.00
_cell_angle_gamma 90.00
_symmetry_space_group_name_H-M 'F m -3 m'
_symmetry_Int_Tables_number 225
_symmetry_space_group_name_Hall '-F 4 2 3'
loop_
_atom_site_label
_atom_site_type_symbol
_atom_site_fract_x
_atom_site_fract_y
_atom_site_fract_z
K1 K 0.000 0.000 0.000
Ta1 Ta 0.250 0.250 0.250
Br1 Br 0.000 0.000 0.500

[3]
# AlCoS2 (SCAN, single point on PBEsol structure)
# - N(E_F): 2.112 states/eV/f.u.
# - Raw formation energy: -0.78 eV per atom
data_AlCoS2
_cell_length_a 5.192
_cell_length_b 5.192
_cell_length_c 10.306
_cell_angle_alpha 90.00
_cell_angle_beta 90.00
_cell_angle_gamma 90.00
_symmetry_space_group_name_H-M 'I -4 2 d'
_symmetry_Int_Tables_number 122
_symmetry_space_group_name_Hall 'I -4 2bw'
loop_
_atom_site_label
_atom_site_type_symbol
_atom_site_fract_x
_atom_site_fract_y
_atom_site_fract_z
Al1 Al 0.000 0.000 0.000
Co1 Co 0.000 0.000 0.500
S1 S 0.241 0.250 0.625

[4]
# AgMoP2O (SCAN, single point on PBEsol structure)
# - N(E_F): 1.834 states/eV/f.u.
# - Raw formation energy: -0.13 eV per atom
data_AgMoP2O
_cell_length_a 4.769
_cell_length_b 4.769
_cell_length_c 3.708
_cell_angle_alpha 90.00
_cell_angle_beta 90.00
_cell_angle_gamma 90.00
_symmetry_space_group_name_H-M 'P 4/m m m'
_symmetry_Int_Tables_number 123
_symmetry_space_group_name_Hall '-P 4 2'
loop_
_atom_site_label
_atom_site_type_symbol
_atom_site_fract_x
_atom_site_fract_y
_atom_site_fract_z
Ag1 Ag 0.000 0.000 0.000
Mo1 Mo 0.500 0.500 0.500
P1 P 0.000 0.500 0.500
O1 O 0.500 0.500 0.000

The highest raw formation energy belongs to which entry? KTa2Br